VASP calculation (PBE) on an optimized crystal structure of NaRhCl3.

a b c (Å): 4.854 4.854 4.854
angles (deg): 90.00 90.00 90.00
Positions (direct):
Na 0.500 0.500 0.500
Cl 0.500 0.000 0.000
Rh 0.000 0.000 0.000
Cl 0.000 0.500 0.000
Cl 0.000 0.000 0.500

Summary:
**Symmetry**: Pm-3m
**ΔE_f (raw)**: -0.802 eV/atom

***

VASP calculation (PBE) on an optimized crystal structure of Rb2UPaTe4.

a b c (Å): 4.458 7.738 9.129
angles (deg): 106.34 90.00 90.00
Last column: magnetic moment on the atom in μB.
Positions (direct):
Rb 0.000 0.500 0.500  0.00
Te 0.500 0.237 0.205  -0.05
Te 0.500 0.763 0.795  -0.05
Te 0.000 0.734 0.206  -0.04
Te 0.000 0.266 0.794  -0.04
U 0.000 0.000 0.000  2.85
Pa 0.500 0.500 0.000  1.47
Rb 0.500 0.000 0.500  0.00

Summary:
**Symmetry**: P2/m
**ΔE_f (raw)**: -0.877 eV/atom

***

VASP calculation (PBE) on an optimized crystal structure of Cs3K10Rb3.

a b c (Å): 8.724 13.419 13.419
angles (deg): 120.00 90.00 90.00
Positions (direct):
Cs 0.000 0.593 0.000
K 0.500 0.785 0.000
K 0.000 0.789 0.789
K 0.500 0.000 0.785
Rb 0.500 0.605 0.605
Rb 0.500 0.000 0.395
K 0.257 0.667 0.333
K 0.000 0.000 0.211
Cs 0.000 0.407 0.407
K 0.743 0.333 0.667
Rb 0.500 0.395 0.000
K 0.743 0.667 0.333
K 0.257 0.333 0.667
Cs 0.000 0.000 0.593
K 0.500 0.215 0.215
K 0.000 0.211 0.000

Summary:
**Symmetry**: P-62m
**Energy relative to the elements**: 0.63 eV per formula unit